Here is a relaxed CdGaAg crystal from the Alexandria database. Energies are from GGA-PBE.

Structure (POSCAR):
```
CdGaAg
1.0
3.686 0.000 0.000
0.000 3.686 0.000
-1.843 -1.843 4.308
Ag Ga Cd
1 1 1
direct
0.615 0.615 0.230 Ag
0.953 0.953 0.906 Ga
0.282 0.282 0.564 Cd
```

Symmetry: I4mm (107)
DOS at the Fermi energy: 0.9 states/eV per cell
Excess energy over the best structure of this formula in the dataset: 0.031 eV/atom
Crystal system: tetragonal